(1)
First-principles (GGA-PBE) data for a relaxed Mn3Pd2Au8 crystal, as listed in Alexandria.

```
data_Mn3Pd2Au8
_space_group_name_H-M_alt 'R -3 m'
_space_group_IT_number 166
_space_group_name_Hall '-R 3 2"'
_cell_length_a 5.3901
_cell_length_b 5.3901
_cell_length_c 31.6358
_cell_angle_alpha 90.00
_cell_angle_beta 90.00
_cell_angle_gamma 120.00
loop_
_atom_site_label
_atom_site_fract_x
_atom_site_fract_y
_atom_site_fract_z
_atom_site_occupancy
Mn1 0.0000 0.0000 0.0000 1
Mn2 0.0000 0.0000 0.1022 1
Pd1 0.0000 0.0000 0.3339 1
Au1 0.0000 0.0000 0.1833 1
Au2 0.0016 0.5008 0.0742 1
```

uncorrected energy = -4.723 eV/atom
E_form = 0.209 eV/atom

***

(2)
First-principles (GGA-PBE) data for a relaxed Mn2Pd3Au5 crystal, as listed in Alexandria.

```
data_Mn2Pd3Au5
_space_group_name_H-M_alt 'I b a m'
_space_group_IT_number 72
_space_group_name_Hall '-I 2 2c'
_cell_length_a 10.819
_cell_length_b 13.021
_cell_length_c 5.386
_cell_angle_alpha 90.00
_cell_angle_beta 90.00
_cell_angle_gamma 90.00
loop_
_atom_site_label
_atom_site_fract_x
_atom_site_fract_y
_atom_site_fract_z
_atom_site_occupancy
Mn1 0.122 0.142 0.000 1
Pd1 0.000 0.000 0.250 1
Pd2 0.113 0.194 0.500 1
Au1 0.000 0.500 0.250 1
Au2 0.117 0.334 0.000 1
Au3 0.249 0.500 0.250 1
```

uncorrected energy = -4.899 eV/atom
E_form = 0.131 eV/atom

***

(3)
First-principles (GGA-PBE) data for a relaxed Mn2Pd3Au crystal, as listed in Alexandria.

```
data_Mn2Pd3Au
_space_group_name_H-M_alt 'P 4/m m m'
_space_group_IT_number 123
_space_group_name_Hall '-P 4 2'
_cell_length_a 2.980
_cell_length_b 2.980
_cell_length_c 10.592
_cell_angle_alpha 90.00
_cell_angle_beta 90.00
_cell_angle_gamma 90.00
loop_
_atom_site_label
_atom_site_fract_x
_atom_site_fract_y
_atom_site_fract_z
_atom_site_occupancy
Mn1 0.000 0.000 0.161 1
Pd1 0.500 0.500 0.000 1
Pd2 0.500 0.500 0.314 1
Au1 0.000 0.000 0.500 1
```

uncorrected energy = -6.384 eV/atom
E_form = -0.185 eV/atom
relative energy among the computed polymorphs = 25 meV per atom

***

(4)
First-principles (GGA-PBE) data for a relaxed MnPd6Au2 crystal, as listed in Alexandria.

```
data_MnPd6Au2
_space_group_name_H-M_alt 'P -1'
_space_group_IT_number 2
_cell_length_a 4.875
_cell_length_b 4.884
_cell_length_c 7.122
_cell_angle_alpha 76.61
_cell_angle_beta 83.24
_cell_angle_gamma 60.13
loop_
_space_group_symop_operation_xyz
'x,y,z'
'-x,-y,-z'
loop_
_atom_site_label
_atom_site_fract_x
_atom_site_fract_y
_atom_site_fract_z
_atom_site_occupancy
Mn1 0.000 0.000 0.000 1
Pd1 0.001 0.780 0.672 1
Pd2 0.332 0.333 0.000 1
Pd3 0.335 0.109 0.673 1
Au1 0.328 0.556 0.329 1
```

uncorrected energy = -5.332 eV/atom
E_form = -0.123 eV/atom
relative energy among the computed polymorphs = 16 meV per atom

***

(5)
First-principles (GGA-PBE) data for a relaxed MnRePd2Au crystal, as listed in Alexandria.

```
data_MnRePd2Au
_space_group_name_H-M_alt 'P 4/m m m'
_space_group_IT_number 123
_space_group_name_Hall '-P 4 2'
_cell_length_a 4.788
_cell_length_b 4.788
_cell_length_c 5.046
_cell_angle_alpha 90.00
_cell_angle_beta 90.00
_cell_angle_gamma 90.00
loop_
_atom_site_label
_atom_site_fract_x
_atom_site_fract_y
_atom_site_fract_z
_atom_site_occupancy
Mn1 0.000 0.000 0.000 1
Re1 0.500 0.500 0.500 1
Pd1 0.000 0.500 0.500 1
Au1 0.500 0.500 0.000 1
```

uncorrected energy = -5.715 eV/atom
E_form = 1.342 eV/atom

***

(6)
First-principles (GGA-PBE) data for a relaxed Mn2Pd2RhAu2 crystal, as listed in Alexandria.

```
data_Mn2Pd2RhAu2
_space_group_name_H-M_alt 'C 1 2/m 1'
_space_group_IT_number 12
_cell_length_a 8.643
_cell_length_b 4.011
_cell_length_c 6.515
_cell_angle_alpha 90.00
_cell_angle_beta 101.53
_cell_angle_gamma 90.00
loop_
_space_group_symop_operation_xyz
'x,y,z'
'-x,-y,-z'
'-x,y,-z'
'x,-y,z'
'x+1/2,y+1/2,z'
'-x+1/2,-y+1/2,-z'
'-x+1/2,y+1/2,-z'
'x+1/2,-y+1/2,z'
loop_
_atom_site_label
_atom_site_fract_x
_atom_site_fract_y
_atom_site_fract_z
_atom_site_occupancy
Mn1 0.205 0.000 0.144 1
Pd1 0.084 0.000 0.736 1
Rh1 0.000 0.500 0.000 1
Au1 0.138 0.500 0.424 1
```

uncorrected energy = -6.212 eV/atom
E_form = -0.122 eV/atom